# 1
First-principles (GGA-PBE) data for a relaxed InBiP2Cl crystal, as listed in Alexandria via LeMat-Bulk.

density: 3.87 Mg/m³
relative energy among the computed polymorphs: 8.6 kJ per mole of atoms
raw total energy: -3.26 eV per atom

abc: 5.6219 5.6219 5.7217
angles: 90.00 90.00 90.00
With the nearest neighbours (Å) after each atom.
Sites, in units of the cell vectors:
P: 0.0000 0.5000 0.0000  2 Bi 2.81
P: 0.5000 0.0000 0.0000  2 Bi 2.81
Cl: 0.0000 0.0000 0.5000  2 Bi 2.86
Bi: 0.0000 0.0000 0.0000  4 P 2.81, 2 Cl 2.86
In: 0.5000 0.5000 0.5000  4 Cl 3.98, 8 P 4.01



# 2
First-principles (GGA-PBE) data for a relaxed InBiPbCl crystal, as listed in Alexandria via LeMat-Bulk.

density: 8.15 Mg/m³
raw total energy: -3.32 eV per atom

abc: 5.4639 5.4639 5.4639
angles: 60.00 60.00 60.00
With the nearest neighbours (Å) after each atom.
Sites, in units of the cell vectors:
Pb: 0.2500 0.2500 0.2500  4 Cl 3.35, 4 Bi 3.35
Cl: 0.0000 0.0000 0.0000  4 In 3.35, 4 Pb 3.35
Bi: 0.5000 0.5000 0.5000  4 Pb 3.35, 4 In 3.35
In: 0.7500 0.7500 0.7500  4 Cl 3.35, 4 Bi 3.35



# 3
First-principles (GGA-PBE) data for a relaxed PuInBiCl crystal, as listed in Alexandria via LeMat-Bulk.

density: 8.85 Mg/m³
raw total energy: -6.17 eV per atom

abc: 5.4297 5.4297 5.4297
angles: 60.00 60.00 60.00
With the nearest neighbours (Å) after each atom.
Sites, in units of the cell vectors:
Cl: 0.5000 0.5000 0.5000  4 In 3.33, 4 Pu 3.33
In: 0.2500 0.2500 0.2500  4 Cl 3.33, 4 Bi 3.33
Bi: 0.0000 0.0000 0.0000  4 In 3.33, 4 Pu 3.33
Pu: 0.7500 0.7500 0.7500  4 Bi 3.33, 4 Cl 3.33



# 4
First-principles (GGA-PBE) data for a relaxed RbIn2BiCl6 crystal, as listed in Alexandria via LeMat-Bulk.

density: 3.30 Mg/m³
raw total energy: -3.28 eV per atom

abc: 7.9609 7.9623 8.1913
angles: 60.76 60.77 59.75
With the nearest neighbours (Å) after each atom.
Sites, in units of the cell vectors:
Rb: 0.8103 0.8110 0.5674  6 Cl 3.25-3.40
In: 0.5258 0.5259 0.4232  6 Cl 3.16-3.31
In: 0.0181 0.0186 0.9446  6 Cl 3.19-3.31
Bi: 0.3220 0.3218 0.0338  6 Cl 2.74-2.76
Cl: 0.5651 0.2108 0.2433  1 Bi 2.74
Cl: 0.2104 0.9805 0.2449  1 Bi 2.74
Cl: 0.9797 0.5673 0.2429  1 Bi 2.74
Cl: 0.4134 0.6730 0.7704  1 Bi 2.76
Cl: 0.6745 0.1397 0.7730  1 Bi 2.76
Cl: 0.1424 0.4130 0.7716  1 Bi 2.76



# 5
First-principles (GGA-PBE) data for a relaxed Rb2InBiCl6 crystal, as listed in Alexandria via LeMat-Bulk.

density: 3.20 Mg/m³
raw total energy: -3.35 eV per atom

abc: 7.9601 7.9603 8.1105
angles: 60.61 60.61 60.00
With the nearest neighbours (Å) after each atom.
Sites, in units of the cell vectors:
Rb: 0.5393 0.5394 0.3819  6 Cl 3.37-3.48
Rb: 0.0333 0.0333 0.9000  6 Cl 3.33-3.47
In: 0.8148 0.8149 0.5555  6 Cl 3.07-3.19
Bi: 0.3204 0.3204 0.0387  6 Cl 2.74-2.75
Cl: 0.5662 0.1777 0.2590  1 Bi 2.74
Cl: 0.1776 0.9973 0.2591  1 Bi 2.74
Cl: 0.9971 0.5662 0.2590  1 Bi 2.74
Cl: 0.4594 0.6459 0.7873  1 Bi 2.75, 1 In 3.07
Cl: 0.6460 0.1072 0.7874  1 Bi 2.75, 1 In 3.07
Cl: 0.1074 0.4593 0.7873  1 Bi 2.75, 1 In 3.07



# 6
First-principles (GGA-PBE) data for a relaxed InBiRu2Cl crystal, as listed in Alexandria via LeMat-Bulk.

density: 5.73 Mg/m³
raw total energy: -4.02 eV per atom

abc: 5.1089 6.2353 5.1089
angles: 90.00 90.00 90.00
With the nearest neighbours (Å) after each atom.
Sites, in units of the cell vectors:
Ru: 0.0000 0.0000 0.5000  2 Bi 2.55
Ru: 0.5000 0.0000 0.0000  2 Bi 2.55
Cl: 0.5000 0.5000 0.5000  4 In 3.61, 8 Ru 4.03
Bi: 0.0000 0.0000 0.0000  4 Ru 2.55
In: 0.0000 0.5000 0.0000  2 Bi 3.12



# 7
First-principles (GGA-PBE) data for a relaxed In2BiRuCl crystal, as listed in Alexandria via LeMat-Bulk.

density: 6.80 Mg/m³
raw total energy: -4.33 eV per atom

abc: 5.2545 5.2545 5.0856
angles: 90.00 90.00 90.00
With the nearest neighbours (Å) after each atom.
Sites, in units of the cell vectors:
Ru: 0.0000 0.0000 0.0000  2 Bi 2.54, 4 In 2.63
Cl: 0.5000 0.5000 0.5000  8 In 3.66, 4 Bi 3.72
Bi: 0.0000 0.0000 0.5000  2 Ru 2.54
In: 0.0000 0.5000 0.0000  2 Ru 2.63
In: 0.5000 0.0000 0.0000  2 Ru 2.63



# 8
First-principles (GGA-PBE) data for a relaxed InBiS2Cl crystal, as listed in Alexandria via LeMat-Bulk.

density: 4.30 Mg/m³
relative energy among the computed polymorphs: 0.0 kJ per mole of atoms
raw total energy: -3.78 eV per atom

abc: 4.1214 7.8327 11.1962
angles: 115.31 90.00 90.00
With the nearest neighbours (Å) after each atom.
Sites, in units of the cell vectors:
In: 0.2500 0.3535 0.5689  3 S 2.61-2.66
In: 0.7500 0.6465 0.4311  3 S 2.61-2.66
Bi: 0.2500 0.3129 0.0506  3 S 2.71-2.78, 2 Cl 2.87
Bi: 0.7500 0.6871 0.9494  3 S 2.71-2.78, 2 Cl 2.87
S: 0.7500 0.5804 0.6454  3 In 2.61-2.66
S: 0.2500 0.4196 0.3546  3 In 2.61-2.66
S: 0.7500 0.5742 0.1474  3 Bi 2.71-2.78, 1 In 2.98
S: 0.2500 0.4258 0.8526  3 Bi 2.71-2.78, 1 In 2.98
Cl: 0.2500 0.9346 0.1097  2 Bi 2.87
Cl: 0.7500 0.0654 0.8903  2 Bi 2.87



# 9
First-principles (GGA-PBE) data for a relaxed InBiS2Cl crystal, as listed in Alexandria via LeMat-Bulk.

density: 5.39 Mg/m³
relative energy among the computed polymorphs: 38.0 kJ per mole of atoms
raw total energy: -3.39 eV per atom

abc: 5.1198 5.1198 4.9794
angles: 90.00 90.00 90.00
With the nearest neighbours (Å) after each atom.
Sites, in units of the cell vectors:
S: 0.0000 0.5000 0.0000  2 In 2.56
S: 0.5000 0.0000 0.0000  2 In 2.56
Cl: 0.0000 0.0000 0.5000  2 In 2.49
Bi: 0.5000 0.5000 0.5000  8 S 3.57, 4 Cl 3.62
In: 0.0000 0.0000 0.0000  2 Cl 2.49, 4 S 2.56



# 10
First-principles (GGA-PBE) data for a relaxed InBiS2Cl crystal, as listed in Alexandria via LeMat-Bulk.

density: 4.59 Mg/m³
relative energy among the computed polymorphs: 28.0 kJ per mole of atoms
raw total energy: -3.49 eV per atom

abc: 5.2614 5.2614 5.5319
angles: 90.00 90.00 90.00
With the nearest neighbours (Å) after each atom.
Sites, in units of the cell vectors:
S: 0.0000 0.5000 0.0000  2 Bi 2.63
S: 0.5000 0.0000 0.0000  2 Bi 2.63
Cl: 0.0000 0.0000 0.5000  2 Bi 2.77
Bi: 0.0000 0.0000 0.0000  4 S 2.63, 2 Cl 2.77
In: 0.5000 0.5000 0.5000  4 Cl 3.72, 8 S 3.82